(1)
Entry from Alexandria via LeMat-Bulk: a relaxed structure of LaCr3Sn (PBE-GGA).

Geometry as extended XYZ:
```
5
Lattice="5.147 0.000 0.000 0.000 5.147 0.000 0.000 0.000 5.147" Properties=species:S:1:pos:R:3 pbc="T T T"
La 0.000 0.000 0.000
Cr 0.000 2.574 2.574
Cr 2.574 0.000 2.574
Cr 2.574 2.574 0.000
Sn 2.574 2.574 2.574
```

Output
Formation energy = 0.992 eV/atom



(2)
Entry from Alexandria via LeMat-Bulk: a relaxed structure of ZrPaNbIn (PBE-GGA).

Geometry as extended XYZ:
```
4
Lattice="0.000 3.509 3.509 3.509 0.000 3.509 3.509 3.509 0.000" Properties=species:S:1:pos:R:3 pbc="T T T"
Zr 0.000 0.000 0.000
Pa 5.264 5.264 5.264
Nb 3.509 3.509 3.509
In 1.755 1.755 1.755
```

Output
Formation energy = 0.039 eV/atom



(3)
Entry from Alexandria via LeMat-Bulk: a relaxed structure of TlV2Se2 (PBE-GGA).

Geometry as extended XYZ:
```
5
Lattice="-1.828 1.828 8.051 1.828 -1.828 8.051 1.828 1.828 -8.051" Properties=species:S:1:pos:R:3 pbc="T T T"
Tl 0.000 0.000 0.000
V 1.828 0.000 4.025
V 0.000 1.828 4.025
Se 0.000 0.000 5.756
Se 0.000 0.000 10.346
```

Output
Formation energy (no corrections) = -0.4853 eV/atom



(4)
Entry from Alexandria via LeMat-Bulk: a relaxed structure of TaTlSn2W (PBE-GGA).

Geometry as extended XYZ:
```
5
Lattice="5.294 0.000 0.000 0.000 5.294 0.000 0.000 0.000 5.012" Properties=species:S:1:pos:R:3 pbc="T T T"
Ta 0.000 0.000 0.000
Tl 2.647 2.647 0.000
Sn 0.000 2.647 2.506
Sn 2.647 0.000 2.506
W 0.000 0.000 2.506
```

Output
Formation energy = 0.900 eV/atom



(5)
Entry from Alexandria via LeMat-Bulk: a relaxed structure of V3BiBr (PBE-GGA).

Geometry as extended XYZ:
```
5
Lattice="4.560 0.000 0.000 0.000 4.560 0.000 0.000 0.000 4.560" Properties=species:S:1:pos:R:3 pbc="T T T"
V 0.000 0.000 2.280
V 0.000 2.280 0.000
V 2.280 0.000 0.000
Bi 2.280 2.280 2.280
Br 0.000 0.000 0.000
```

Output
ΔE to the lowest computed polymorph = 0 meV per atom
Formation energy (no corrections) = 0.9464 eV/atom



(6)
Entry from Alexandria via LeMat-Bulk: a relaxed structure of Tb3DyEr (PBE-GGA).

Geometry as extended XYZ:
```
10
Lattice="3.594 0.000 0.000 0.000 11.545 0.000 -1.795 0.000 8.251" Properties=species:S:1:pos:R:3 pbc="T T T"
Tb 0.000 0.010 2.499
Tb 0.000 5.763 2.499
Tb 0.000 2.886 5.210
Tb 1.799 8.659 3.041
Tb 1.798 5.782 5.752
Tb 1.798 11.535 5.752
Dy 0.002 8.659 0.190
Dy 1.796 2.886 8.061
Er 0.003 8.659 5.693
Er 1.795 2.886 2.558
```

Output
ΔE to the lowest computed polymorph = 302 meV per atom
Formation energy = 0.311 eV/atom



Number 1: total magnetic moment 12.324 μB per cell. Number 2: total magnetic moment 0.000 μB per cell. Number 3: total magnetic moment 0.000 μB per cell. Number 4: total magnetic moment 0.000 μB per cell. Number 5: total magnetic moment 0.000 μB per cell. Number 6: total magnetic moment 0.000 μB per cell.